(1)
## UBi (PBE)

Data for a relaxed structure of UBi.

```
2
Lattice="0.000 3.174 3.174 3.174 0.000 3.174 3.174 3.174 0.000" Properties=species:S:1:pos:R:3 pbc="T T T"
U 0.000 0.000 0.000
Bi 3.174 3.174 3.174
```

Results
The size of the total moment comes out at 2.875 μB/f.u. The calculation puts the raw total energy at -14.96 eV for the cell shown.

(2)
## UBi (PBE)

Data for a relaxed structure of UBi.

```
2
Lattice="3.818 0.000 0.000 0.000 3.818 0.000 0.000 0.000 3.818" Properties=species:S:1:pos:R:3 pbc="T T T"
U 0.000 0.000 0.000
Bi 1.909 1.909 1.909
```

Results
The size of the total moment comes out at 2.989 μB/f.u. The calculation puts the raw total energy at -15.11 eV for the cell shown.